A geometry-optimized Tb7Pm2Tm3 structure, computed with PBE-GGA.

The structure belongs to space group P2/m (No. 10); the cell edges are 6.3301, 3.5148 and 17.3988 Å and the angles 90.00°, 96.18° and 90.00°. The asymmetric unit holds Tb at (0.0000, 0.0000, 0.0000), Tb at (0.2286, 0.5000, 0.1681), Tb at (0.2568, 0.5000, 0.4980), Tb at (0.2749, 0.0000, 0.8366), Pm at (0.0596, 0.5000, 0.6725), Tm at (0.4525, 0.0000, 0.3425) and Tm at (0.5000, 0.5000, 0.0000).

The energy above the most stable polymorph in this dataset comes out at 0.0 meV/atom. For the calculated formation energy, the calculation gives 7.0 kJ/mol of atoms.

A geometry-optimized Tb4Pm3Tm2 structure, computed with PBE-GGA.

The structure belongs to space group P-1 (No. 2); the cell edges are 6.1800, 6.1875 and 9.4466 Å and the angles 108.93°, 90.11° and 119.90°. The asymmetric unit holds Tb at (0.1653, 0.3317, 0.9999), Tb at (0.2768, 0.8872, 0.3335), Pm at (0.3881, 0.4440, 0.6659), Pm at (0.5000, 0.0000, 0.0000) and Tm at (0.0550, 0.7770, 0.6658).

The energy above the most stable polymorph in this dataset comes out at 0.0 meV/atom. For the calculated formation energy, the calculation gives 1.6 kJ/mol of atoms.

A geometry-optimized Tb2PmTm7 structure, computed with PBE-GGA.

The structure belongs to space group P-1 (No. 2); the cell edges are 6.0848, 7.0428 and 7.8501 Å and the angles 77.21°, 75.08° and 73.31°. The asymmetric unit holds Tb at (0.2000, 0.3003, 0.1001), Pm at (0.0000, 0.0000, 0.5000), Tm at (0.0000, 0.5000, 0.5000), Tm at (0.2006, 0.7994, 0.0999), Tm at (0.3998, 0.1002, 0.7000) and Tm at (0.4006, 0.5992, 0.7007).

The energy above the most stable polymorph in this dataset comes out at 0.0 meV/atom. For the calculated formation energy, the calculation gives 2.2 kJ/mol of atoms.

A geometry-optimized TbPm8Tm4 structure, computed with PBE-GGA.

The structure belongs to space group R-3m (No. 166, hexagonal axes); the cell edges are 7.2531, 7.2531 and 28.4963 Å and the angles 90.00°, 90.00° and 120.00°. The asymmetric unit holds Tb at (0.0000, 0.0000, 0.0000), Pm at (0.0000, 0.0000, 0.2864), Pm at (0.0308, 0.5154, 0.2640), Tm at (0.0000, 0.0000, 0.5000) and Tm at (0.0000, 0.5000, 0.5000).

For the calculated formation energy, the calculation gives 19.0 kJ/mol of atoms.

A geometry-optimized Tb5Pm6Tm structure, computed with PBE-GGA.

The structure belongs to space group Immm (No. 71); the cell edges are 5.0961, 10.1438 and 15.2807 Å and the angles 90.00°, 90.00° and 90.00°. The asymmetric unit holds Tb at (0.0000, 0.0000, 0.0000), Tb at (0.0000, 0.0000, 0.3337), Tb at (0.0000, 0.5000, 0.3334), Pm at (0.0000, 0.2491, 0.5000), Pm at (0.0000, 0.2506, 0.1665) and Tm at (0.0000, 0.5000, 0.0000).

The energy above the most stable polymorph in this dataset comes out at 2.3 meV/atom. For the calculated formation energy, the calculation gives 1.4 kJ/mol of atoms.

A geometry-optimized Tb8PmTm2 structure, computed with PBE-GGA.

The structure belongs to space group Immm (No. 71); the cell edges are 5.5258, 8.1338 and 15.8484 Å and the angles 90.00°, 90.00° and 90.00°. The asymmetric unit holds Tb at (0.0000, 0.0000, 0.1642), Tb at (0.0000, 0.2059, 0.3613), Tb at (0.0000, 0.2954, 0.0000), Pm at (0.0000, 0.5000, 0.5000) and Tm at (0.0000, 0.5000, 0.1996).

The energy above the most stable polymorph in this dataset comes out at 0.0 meV/atom. For the calculated formation energy, the calculation gives 11.1 kJ/mol of atoms.

A geometry-optimized Tb8Pm4Tm structure, computed with PBE-GGA.

The structure belongs to space group R-3m (No. 166, hexagonal axes); the cell edges are 11.0400, 11.0400 and 13.4924 Å and the angles 90.00°, 90.00° and 120.00°. The asymmetric unit holds Tb at (0.0000, 0.0000, 0.2400), Tb at (0.0130, 0.5065, 0.7462), Pm at (0.0000, 0.0000, 0.0000), Pm at (0.0000, 0.5000, 0.0000) and Tm at (0.0000, 0.0000, 0.5000).

For the calculated formation energy, the calculation gives 48.9 kJ/mol of atoms.

A geometry-optimized Tb2PmTm2 structure, computed with PBE-GGA.

The structure belongs to space group C2/m (No. 12); the cell edges are 11.2112, 5.0172 and 11.2257 Å and the angles 90.00°, 90.03° and 90.00°. The asymmetric unit holds Tb at (0.0502, 0.0000, 0.1489), Tb at (0.1491, 0.0000, 0.4496), Pm at (0.2497, 0.0000, 0.7508), Tm at (0.0503, 0.5000, 0.6498) and Tm at (0.1496, 0.5000, 0.9498).

The energy above the most stable polymorph in this dataset comes out at 0.0 meV/atom. For the calculated formation energy, the calculation gives 1.9 kJ/mol of atoms.

A geometry-optimized Tb5PmTm structure, computed with PBE-GGA.

The structure belongs to space group Imm2 (No. 44); the cell edges are 6.5768, 6.6348 and 10.4616 Å and the angles 90.00°, 90.00° and 90.00°. The asymmetric unit holds Tb at (0.0000, 0.0000, 0.0000), Tb at (0.0000, 0.2744, 0.2535), Tb at (0.2280, 0.5000, 0.9500), Pm at (0.0000, 0.5000, 0.6030) and Tm at (0.0000, 0.0000, 0.7048).

The energy above the most stable polymorph in this dataset comes out at 60.1 meV/atom. For the calculated formation energy, the calculation gives 23.9 kJ/mol of atoms.

A geometry-optimized TbPm5Tm3 structure, computed with PBE-GGA.

The structure belongs to space group Cmcm (No. 63); the cell edges are 17.4496, 9.3104 and 7.2813 Å and the angles 90.00°, 90.00° and 90.00°. The asymmetric unit holds Tb at (0.0000, 0.1709, 0.2500), Pm at (0.0000, 0.1987, 0.7500), Pm at (0.1646, 0.1762, 0.5014), Tm at (0.0000, 0.5000, 0.0000) and Tm at (0.1769, 0.4995, 0.2500).

The energy above the most stable polymorph in this dataset comes out at 0.0 meV/atom. For the calculated formation energy, the calculation gives 12.7 kJ/mol of atoms.

A geometry-optimized Tb2PmTm3 structure, computed with PBE-GGA.

The structure belongs to space group C2/m (No. 12); the cell edges are 21.8609, 3.6197 and 11.2311 Å and the angles 90.00°, 120.90° and 90.00°. The asymmetric unit holds Tb at (0.0562, 0.0000, 0.1855), Tb at (0.2241, 0.5000, 0.3490), Pm at (0.1120, 0.5000, 0.9850), Tm at (0.0552, 0.0000, 0.6764), Tm at (0.1106, 0.5000, 0.4877) and Tm at (0.2208, 0.5000, 0.8459).

The energy above the most stable polymorph in this dataset comes out at 0.0 meV/atom. For the calculated formation energy, the calculation gives 0.8 kJ/mol of atoms.

A geometry-optimized Tb8Pm2Tm structure, computed with PBE-GGA.

The structure belongs to space group C2/m (No. 12); the cell edges are 18.2004, 5.0431 and 7.9869 Å and the angles 90.00°, 105.27° and 90.00°. The asymmetric unit holds Tb at (0.0448, 0.0000, 0.2280), Tb at (0.0899, 0.5000, 0.9527), Tb at (0.1351, 0.0000, 0.6787), Tb at (0.1812, 0.5000, 0.4087), Pm at (0.2269, 0.0000, 0.1370) and Tm at (0.0000, 0.5000, 0.5000).

The energy above the most stable polymorph in this dataset comes out at 0.0 meV/atom. For the calculated formation energy, the calculation gives 1.7 kJ/mol of atoms.